# 1
# BaLaNi2

A relaxed BaLaNi2 crystal (PBE-GGA, Alexandria via LeMat-Bulk).

```
BaLaNi2
1.0
-3.875 3.875 3.671
3.875 -3.875 3.671
3.875 3.875 -3.671
Ba La Ni
2 2 4
Cartesian
0.000 0.000 0.000
0.000 3.875 1.835
3.875 0.000 1.835
0.000 0.000 3.671
1.937 2.267 -0.918
5.482 1.937 0.918
1.937 1.608 2.753
-1.608 1.937 4.588
```

Properties
- energy above the most stable polymorph in this dataset (eV/f.u.) = 1.238
- calculated density (Mg/m³) = 5.9

---

# 2
# Ba2LaNi

A relaxed Ba2LaNi crystal (PBE-GGA, Alexandria via LeMat-Bulk).

```
Ba2LaNi
1.0
5.690 0.000 0.000
0.000 4.531 0.000
-2.529 0.000 6.325
Ba La Ni
2 1 1
Cartesian
0.122 0.000 1.985
3.039 0.000 4.341
2.845 2.265 0.000
0.000 2.265 0.000
```

Properties
- energy above the most stable polymorph in this dataset (eV/f.u.) = 0.452
- calculated density (Mg/m³) = 4.8

---

# 3
# Ba2LaNi

A relaxed Ba2LaNi crystal (PBE-GGA, Alexandria via LeMat-Bulk).

```
Ba2LaNi
1.0
3.820 0.000 0.000
0.000 3.820 0.000
0.000 0.000 10.264
Ba La Ni
2 1 1
Cartesian
0.000 0.000 1.835
0.000 0.000 8.429
1.910 1.910 5.132
1.910 1.910 0.000
```

Properties
- energy above the most stable polymorph in this dataset (eV/f.u.) = 0.844
- calculated density (Mg/m³) = 5.2

---

# 4
# Ba3LaNi

A relaxed Ba3LaNi crystal (PBE-GGA, Alexandria via LeMat-Bulk).

```
Ba3LaNi
1.0
6.091 0.000 0.000
0.000 6.091 0.000
0.000 0.000 6.091
Ba La Ni
3 1 1
Cartesian
0.000 0.000 3.046
0.000 3.046 0.000
3.046 0.000 0.000
3.046 3.046 3.046
0.000 0.000 0.000
```

Properties
- energy above the most stable polymorph in this dataset (eV/f.u.) = 0.000
- calculated density (Mg/m³) = 4.5

---

> Look up the calculated density of the fourth one.

4.5 Mg/m³

---

> Which value of energy above the most stable polymorph in this dataset does entry 3 give?

0.844 eV/f.u.

---

> Among the records above, which one has the lowest calculated density?

Ba3LaNi

---

> The highest energy above the most stable polymorph in this dataset belongs to which entry?

BaLaNi2